# UH8Pd2Ru | the Alexandria database | GGA-PBE | optimized geometry
# * E_tot: -56.8 eV per cell
data_UH8Pd2Ru
_chemical_formula_sum 'U1 H8 Pd2 Ru1'
_space_group_name_H-M_alt 'P -3 m 1'
_space_group_IT_number 164
_space_group_name_Hall '-P 3 2"'
_cell_length_a 5.0445
_cell_length_b 5.0445
_cell_length_c 5.3251
_cell_angle_alpha 90.00
_cell_angle_beta 90.00
_cell_angle_gamma 120.00
loop_
_atom_site_label
_atom_site_fract_x
_atom_site_fract_y
_atom_site_fract_z
_atom_site_occupancy
U1 0.0000 0.0000 0.0000 1
H1 0.1801 0.3601 0.3649 1
H2 0.3333 0.6667 0.8290 1
Pd1 0.3333 0.6667 0.1347 1
Ru1 0.0000 0.0000 0.5000 1